Entry 1:
DFT (PBE) results for crystalline PIr3Rh at its relaxed geometry.

abc: 4.361 4.361 4.361
angles: 90.00 90.00 90.00
Positions (direct):
Ir  0.500  0.000  0.000
Ir  0.000  0.500  0.000
Ir  0.000  0.000  0.500
P  0.000  0.000  0.000
Rh  0.500  0.500  0.500

The energy above the most stable polymorph in this dataset is 0.0 meV per atom. The spin magnetization comes out at 0.0 μB per formula unit. The calculation puts the total energy at -7.11 eV per atom. The calculation puts the formation energy at 0.75 eV/atom. The volume comes out at 82.9 Å³ per cell.

***

Entry 2:
DFT (PBE) results for crystalline Pr5Y8Ho at its relaxed geometry.

abc: 8.558 8.547 8.558
angles: 110.84 106.90 110.77
Positions (direct):
Y  0.569  0.906  0.831
Y  0.169  0.738  0.075
Y  0.731  0.254  0.334
Y  0.523  0.603  0.269
Y  0.080  0.746  0.477
Y  0.666  0.397  0.920
Y  0.924  0.094  0.663
Y  0.338  0.262  0.431
Pr  0.294  0.105  0.969
Pr  0.500  0.000  0.500
Pr  0.812  0.675  0.706
Pr  0.864  0.895  0.189
Pr  0.031  0.325  0.136
Ho  0.250  0.500  0.750

The spin magnetization comes out at 0.0 μB per formula unit. The calculation puts the total energy at -5.49 eV per atom. The calculation puts the formation energy at 0.23 eV/atom. The volume comes out at 480.8 Å³ per cell.

***

Entry 3:
DFT (PBE) results for crystalline NaPaCuSe4 at its relaxed geometry.

abc: 7.072 5.727 9.288
angles: 90.00 112.78 90.00
Positions (direct):
Cu  0.759  0.250  0.683
Cu  0.241  0.750  0.317
Pa  0.276  0.250  0.560
Pa  0.724  0.750  0.440
Na  0.315  0.250  0.040
Na  0.685  0.750  0.960
Se  0.586  0.250  0.856
Se  0.956  0.491  0.289
Se  0.956  0.009  0.289
Se  0.044  0.509  0.711
Se  0.044  0.991  0.711
Se  0.414  0.750  0.144
Se  0.440  0.750  0.592
Se  0.560  0.250  0.408

The spin magnetization comes out at 0.0 μB per formula unit. The calculation puts the total energy at -5.10 eV per atom. The volume comes out at 346.8 Å³ per cell.

***

Entry 4:
DFT (PBE) results for crystalline Tl6Cd3Sn at its relaxed geometry.

abc: 6.472 6.472 8.395
angles: 90.00 90.00 120.00
Positions (direct):
Tl  0.602  0.000  0.200
Tl  0.000  0.602  0.200
Tl  0.398  0.398  0.200
Tl  0.602  0.602  0.800
Tl  0.000  0.398  0.800
Tl  0.398  0.000  0.800
Cd  0.333  0.667  0.500
Cd  0.000  0.000  0.500
Cd  0.667  0.333  0.500
Sn  0.000  0.000  0.000

The spin magnetization comes out at 0.0 μB per formula unit. The calculation puts the total energy at -1.98 eV per atom. The calculation puts the formation energy at 0.12 eV/atom. The volume comes out at 304.5 Å³ per cell.